1.
CaOs2Pt: optimized geometry, PBE.

abc: 5.622 8.625 2.702
angles: 90.00 90.00 90.00
Space group Cmmm (No. 65)
One atom of each set of equivalent atoms:
Ca1 0.000 0.000 0.000 (multiplicity 2)
Os1 0.250 0.250 0.500 (multiplicity 4)
Pt1 0.000 0.500 0.000 (multiplicity 2)

Properties
Energy relative to the lowest polymorph listed for this composition, kJ/mol of atoms: 35.6
Calculated formation energy, eV/atom: 0.441
Calculated density, g/cm3: 15.60
DFT total energy, eV/f.u.: -28.74

2.
CaOs2Pt: optimized geometry, PBE.

abc: 6.438 6.438 6.438
angles: 90.00 90.00 90.00
Space group Fm-3m (No. 225)
One atom of each set of equivalent atoms:
Ca1 0.000 0.000 0.000 (multiplicity 4)
Os1 0.250 0.250 0.250 (multiplicity 8)
Pt1 0.000 0.000 0.500 (multiplicity 4)

Properties
Energy relative to the lowest polymorph listed for this composition, kJ/mol of atoms: 71.2
Calculated formation energy, eV/atom: 0.810
Calculated density, g/cm3: 15.33
DFT total energy, eV/f.u.: -27.26

3.
CaOs2Pt: optimized geometry, PBE.

abc: 9.278 2.779 5.394
angles: 90.00 97.85 90.00
Space group Cm (No. 8)
One atom of each set of equivalent atoms:
Ca1 0.000 0.000 0.000 (multiplicity 2)
Os1 0.002 0.500 0.480 (multiplicity 2)
Os2 0.262 0.500 0.341 (multiplicity 2)
Pt1 0.245 0.000 0.761 (multiplicity 2)

Properties
Energy relative to the lowest polymorph listed for this composition, kJ/mol of atoms: 16.3
Calculated formation energy, eV/atom: 0.241
Calculated density, g/cm3: 14.84
DFT total energy, eV/f.u.: -29.54

4.
CaOs2Pt: optimized geometry, PBE.

abc: 2.802 4.744 5.012
angles: 90.00 90.00 90.00
Space group Pmmm (No. 47)
One atom of each set of equivalent atoms:
Ca1 0.000 0.000 0.000 (multiplicity 1)
Os1 0.000 0.500 0.500 (multiplicity 1)
Os2 0.500 0.000 0.500 (multiplicity 1)
Pt1 0.500 0.500 0.000 (multiplicity 1)

Properties
Energy relative to the lowest polymorph listed for this composition, kJ/mol of atoms: 25.2
Calculated formation energy, eV/atom: 0.333
Calculated density, g/cm3: 15.34
DFT total energy, eV/f.u.: -29.17

5.
CaOs3Pt: optimized geometry, PBE.

abc: 4.818 4.818 4.818
angles: 90.00 90.00 90.00
Space group Pm-3m (No. 221)
One atom of each set of equivalent atoms:
Ca1 0.000 0.000 0.000 (multiplicity 1)
Os1 0.000 0.500 0.500 (multiplicity 3)
Pt1 0.500 0.500 0.500 (multiplicity 1)

Properties
Energy relative to the lowest polymorph listed for this composition, kJ/mol of atoms: 0.0
Calculated formation energy, eV/atom: 1.884
Calculated density, g/cm3: 11.96
DFT total energy, eV/f.u.: -32.31

6.
CaOs2Pt: optimized geometry, PBE.

abc: 2.8148 2.8148 28.8313
angles: 90.00 90.00 120.00
Space group R-3m (No. 166, hexagonal axes)
One atom of each set of equivalent atoms:
Ca1 0.0000 0.0000 0.0000 (multiplicity 3)
Os1 0.0000 0.0000 0.2446 (multiplicity 6)
Pt1 0.0000 0.0000 0.5000 (multiplicity 3)

Properties
Energy relative to the lowest polymorph listed for this composition, kJ/mol of atoms: 49.6
Calculated formation energy, eV/atom: 0.586
Calculated density, g/cm3: 15.50
DFT total energy, eV/f.u.: -28.16

The highest calculated density belongs to which entry? number 1

Copy entry 1 word for word.
CaOs2Pt: optimized geometry, PBE.

abc: 5.622 8.625 2.702
angles: 90.00 90.00 90.00
Space group Cmmm (No. 65)
One atom of each set of equivalent atoms:
Ca1 0.000 0.000 0.000 (multiplicity 2)
Os1 0.250 0.250 0.500 (multiplicity 4)
Pt1 0.000 0.500 0.000 (multiplicity 2)

Properties
Energy relative to the lowest polymorph listed for this composition, kJ/mol of atoms: 35.6
Calculated formation energy, eV/atom: 0.441
Calculated density, g/cm3: 15.60
DFT total energy, eV/f.u.: -28.74